## Li5In3Ag (PBE)

Data for a relaxed structure of Li5In3Ag.

```
Li5In3Ag
1.0
4.663 -3.656 0.000
4.663 3.656 0.000
-0.434 0.000 11.480
Li In Ag
10 6 2
Direct
0.013 0.013 0.276
0.054 0.489 0.328
0.162 0.838 0.000
0.246 0.246 0.866
0.489 0.054 0.328
0.511 0.946 0.672
0.754 0.754 0.134
0.838 0.162 0.000
0.946 0.511 0.672
0.987 0.987 0.724
0.161 0.161 0.515
0.237 0.237 0.117
0.500 0.500 0.000
0.500 0.500 0.500
0.763 0.763 0.883
0.839 0.839 0.485
0.490 0.490 0.746
0.510 0.510 0.254
```

Summary:
N(E_F) = 0.312 states/eV per atom
Energy of formation from the pure elements = -0.042 eV/atom
Size of the total moment = 0.000 μB per atom
Crystal system = monoclinic



## Li5In4Ag2 (PBE)

Data for a relaxed structure of Li5In4Ag2.

```
Li5In4Ag2
1.0
7.420 0.000 0.000
0.000 17.790 0.000
0.000 0.000 3.164
Li In Ag
10 8 4
Direct
0.000 0.000 0.000
0.142 0.429 0.000
0.241 0.715 0.000
0.259 0.215 0.000
0.358 0.929 0.000
0.500 0.500 0.000
0.642 0.071 0.000
0.741 0.785 0.000
0.759 0.285 0.000
0.858 0.571 0.000
0.062 0.849 0.500
0.199 0.567 0.500
0.301 0.067 0.500
0.438 0.349 0.500
0.562 0.651 0.500
0.699 0.933 0.500
0.801 0.433 0.500
0.938 0.151 0.500
0.054 0.308 0.500
0.446 0.808 0.500
0.554 0.192 0.500
0.946 0.692 0.500
```

Summary:
N(E_F) = 0.244 states/eV per atom
Energy of formation from the pure elements = -0.266 eV/atom
Size of the total moment = 0.000 μB per atom
Crystal system = orthorhombic



## Li3InAg2 (PBE)

Data for a relaxed structure of Li3InAg2.

```
Li3InAg2
1.0
4.244 0.000 0.000
0.000 12.752 0.000
0.000 0.000 3.815
Li In Ag
6 2 4
Direct
0.250 0.078 0.001
0.250 0.422 0.001
0.250 0.750 0.999
0.750 0.250 0.001
0.750 0.578 0.999
0.750 0.922 0.999
0.250 0.250 0.501
0.750 0.750 0.499
0.250 0.582 0.500
0.250 0.918 0.500
0.750 0.082 0.500
0.750 0.418 0.500
```

Summary:
N(E_F) = 0.510 states/eV per atom
Energy of formation from the pure elements = -0.231 eV/atom
Size of the total moment = 0.000 μB per atom
Crystal system = orthorhombic



## LiIn3Ag6 (PBE)

Data for a relaxed structure of LiIn3Ag6.

```
LiIn3Ag6
1.0
3.650 -7.337 0.000
3.650 7.337 0.000
0.000 0.000 7.552
Li In Ag
2 6 12
Direct
0.207 0.793 0.500
0.793 0.207 0.000
0.115 0.370 0.308
0.370 0.115 0.808
0.431 0.569 0.632
0.569 0.431 0.132
0.630 0.885 0.308
0.885 0.630 0.808
0.001 0.612 0.173
0.022 0.978 0.177
0.207 0.328 0.951
0.283 0.717 0.901
0.328 0.207 0.451
0.388 0.999 0.173
0.612 0.001 0.673
0.672 0.793 0.951
0.717 0.283 0.401
0.793 0.672 0.451
0.978 0.022 0.677
0.999 0.388 0.673
```

Summary:
N(E_F) = 0.296 states/eV per atom
Energy of formation from the pure elements = -0.033 eV/atom
Size of the total moment = 0.000 μB per atom
Crystal system = orthorhombic



What is the N(E_F) in the second record?
0.244 states/eV per atom



Repeat the second record exactly.
## Li5In4Ag2 (PBE)

Data for a relaxed structure of Li5In4Ag2.

```
Li5In4Ag2
1.0
7.420 0.000 0.000
0.000 17.790 0.000
0.000 0.000 3.164
Li In Ag
10 8 4
Direct
0.000 0.000 0.000
0.142 0.429 0.000
0.241 0.715 0.000
0.259 0.215 0.000
0.358 0.929 0.000
0.500 0.500 0.000
0.642 0.071 0.000
0.741 0.785 0.000
0.759 0.285 0.000
0.858 0.571 0.000
0.062 0.849 0.500
0.199 0.567 0.500
0.301 0.067 0.500
0.438 0.349 0.500
0.562 0.651 0.500
0.699 0.933 0.500
0.801 0.433 0.500
0.938 0.151 0.500
0.054 0.308 0.500
0.446 0.808 0.500
0.554 0.192 0.500
0.946 0.692 0.500
```

Summary:
N(E_F) = 0.244 states/eV per atom
Energy of formation from the pure elements = -0.266 eV/atom
Size of the total moment = 0.000 μB per atom
Crystal system = orthorhombic